# 1
KPm2Ga | PBE | relaxed

Properties
Calculated formation energy (eV/f.u.): 0.0

```
data_KPm2Ga
_symmetry_space_group_name_H-M 'R -3 m'
_symmetry_Int_Tables_number 166
_symmetry_space_group_name_Hall '-R 3 2"'
_cell_length_a 3.7912
_cell_length_b 3.7912
_cell_length_c 36.3289
_cell_angle_alpha 90.00
_cell_angle_beta 90.00
_cell_angle_gamma 120.00
loop_
_atom_site_label
_atom_site_type_symbol
_atom_site_fract_x
_atom_site_fract_y
_atom_site_fract_z
K1 K 0.0000 0.0000 0.0000
Pm1 Pm 0.0000 0.0000 0.1099
Ga1 Ga 0.0000 0.0000 0.5000
```

# 2
K3Pm3GaS8 | PBE | relaxed

```
data_K3Pm3GaS8
_symmetry_space_group_name_H-M 'R -3 m'
_symmetry_Int_Tables_number 166
_symmetry_space_group_name_Hall '-R 3 2"'
_cell_length_a 8.1005
_cell_length_b 8.1005
_cell_length_c 22.5734
_cell_angle_alpha 90.00
_cell_angle_beta 90.00
_cell_angle_gamma 120.00
loop_
_atom_site_label
_atom_site_type_symbol
_atom_site_fract_x
_atom_site_fract_y
_atom_site_fract_z
K1 K 0.0000 0.5000 0.0000
Pm1 Pm 0.0000 0.5000 0.5000
Ga1 Ga 0.0000 0.0000 0.5000
S1 S 0.0000 0.0000 0.2358
S2 S 0.0296 0.5148 0.2300
```

# 3
K4Pm3GaS8 | PBE | relaxed

```
data_K4Pm3GaS8
_symmetry_space_group_name_H-M 'R -3 m'
_symmetry_Int_Tables_number 166
_symmetry_space_group_name_Hall '-R 3 2"'
_cell_length_a 8.1442
_cell_length_b 8.1442
_cell_length_c 22.1791
_cell_angle_alpha 90.00
_cell_angle_beta 90.00
_cell_angle_gamma 120.00
loop_
_atom_site_label
_atom_site_type_symbol
_atom_site_fract_x
_atom_site_fract_y
_atom_site_fract_z
K1 K 0.0000 0.0000 0.0000
K2 K 0.0000 0.5000 0.0000
Pm1 Pm 0.0000 0.5000 0.5000
Ga1 Ga 0.0000 0.0000 0.5000
S1 S 0.0000 0.0000 0.2362
S2 S 0.0226 0.5113 0.2327
```

# 4
K3Pm3GaSe8 | PBE | relaxed

```
data_K3Pm3GaSe8
_symmetry_space_group_name_H-M 'C 1 2/m 1'
_symmetry_Int_Tables_number 12
_symmetry_space_group_name_Hall '-C 2y'
_cell_length_a 14.538
_cell_length_b 8.385
_cell_length_c 9.273
_cell_angle_alpha 90.00
_cell_angle_beta 121.53
_cell_angle_gamma 90.00
loop_
_atom_site_label
_atom_site_type_symbol
_atom_site_fract_x
_atom_site_fract_y
_atom_site_fract_z
K1 K 0.000 0.000 0.000
K2 K 0.250 0.250 0.000
Pm1 Pm 0.000 0.500 0.500
Pm2 Pm 0.250 0.250 0.500
Ga1 Ga 0.000 0.000 0.500
Se1 Se 0.012 0.231 0.305
Se2 Se 0.219 0.000 0.695
Se3 Se 0.237 0.500 0.711
```

What did we get for calculated density? Answer: 4.39; 3.41; 3.59; 4.32 g cm⁻³, in the order shown.
What did we get for spin magnetization? Answer: 0.00; 0.00; 0.00; 0.00 Bohr magnetons per cell, in the order shown.
What did we get for energy? Answer: -3.41; -5.02; -4.96; -4.60 eV/atom, in the order shown.